TeIrSe3: optimized geometry, PBE.

Lattice parameters (Å, degrees): 6.4360 11.5841 9.2791 130.50 90.00 90.00
Closest atoms and distances in Å follow each position.
Fractional coordinates of all 20 atoms:
Se (0.9419, 0.3593, 0.2708)  3 Ir 2.52-2.57
Se (0.1310, 0.3227, 0.6451)  1 Ir 2.48, 1 Te 2.53
Te (0.6302, 0.6083, 0.9882)  2 Se 2.53-2.71
Se (0.8987, 0.9491, 0.1104)  2 Ir 2.46-2.49, 1 Te 2.71
Se (0.0581, 0.6407, 0.7292)  3 Ir 2.52-2.57
Te (0.8698, 0.1083, 0.4882)  2 Se 2.53-2.71
Te (0.3698, 0.3917, 0.0118)  2 Se 2.53-2.71
Se (0.5581, 0.8593, 0.7708)  3 Ir 2.52-2.57
Se (0.4419, 0.1407, 0.2292)  3 Ir 2.52-2.57
Se (0.3690, 0.8227, 0.1451)  1 Ir 2.48, 1 Te 2.53
Se (0.8690, 0.6773, 0.3549)  1 Ir 2.48, 1 Te 2.53
Ir (0.2464, 0.8972, 0.9624)  6 Se 2.46-2.57
Se (0.1013, 0.0509, 0.8896)  2 Ir 2.46-2.49, 1 Te 2.71
Se (0.3987, 0.5509, 0.3896)  2 Ir 2.46-2.49, 1 Te 2.71
Te (0.1302, 0.8917, 0.5118)  2 Se 2.53-2.71
Se (0.6310, 0.1773, 0.8549)  1 Ir 2.48, 1 Te 2.53
Ir (0.7536, 0.1028, 0.0376)  6 Se 2.46-2.57
Se (0.6013, 0.4491, 0.6104)  2 Ir 2.46-2.49, 1 Te 2.71
Ir (0.2536, 0.3972, 0.4624)  6 Se 2.46-2.57
Ir (0.7464, 0.6028, 0.5376)  6 Se 2.46-2.57

Properties
**Total magnetic moment**: 0.000 μB per atom
**Formation energy from raw total energies**: -78 meV/atom
**Energy above the lowest structure with this stoichiometry**: 0.000 eV/f.u.
**Mass density**: 7.0 Mg/m³
**Crystal system**: monoclinic
**Space group**: P2_1/c